# CaWBr2 | Alexandria via LeMat-Bulk | PBE-GGA | optimized geometry
data_CaWBr2
_cell_length_a 4.334
_cell_length_b 3.263
_cell_length_c 6.273
_cell_angle_alpha 90.06
_cell_angle_beta 90.00
_cell_angle_gamma 90.00
_symmetry_space_group_name_H-M 'P 1'
_symmetry_Int_Tables_number 1
loop_
_symmetry_equiv_pos_as_xyz
'x,y,z'
loop_
_atom_site_label
_atom_site_fract_x
_atom_site_fract_y
_atom_site_fract_z
_atom_site_occupancy
Br1 0.000 0.749 0.510 1
Br2 0.000 0.751 0.990 1
Ca1 0.500 0.250 0.250 1
W1 0.500 0.750 0.750 1
# **Uncorrected energy**: -17.69 eV per cell
# **ΔE_f (raw)**: 59 kJ/mol of formula units
# **Volume**: 22.18 Å³/atom

=====

# Pr6AlCo2Cl3 | Alexandria via LeMat-Bulk | PBE-GGA | optimized geometry
data_Pr6AlCo2Cl3
_cell_length_a 3.987
_cell_length_b 8.974
_cell_length_c 10.052
_cell_angle_alpha 107.30
_cell_angle_beta 101.44
_cell_angle_gamma 90.00
_symmetry_space_group_name_H-M 'P 1'
_symmetry_Int_Tables_number 1
loop_
_symmetry_equiv_pos_as_xyz
'x,y,z'
loop_
_atom_site_label
_atom_site_fract_x
_atom_site_fract_y
_atom_site_fract_z
_atom_site_occupancy
Pr1 0.973 0.731 0.946 1
Pr2 0.683 0.571 0.366 1
Pr3 0.664 0.126 0.328 1
Pr4 0.027 0.269 0.054 1
Pr5 0.317 0.429 0.634 1
Pr6 0.336 0.874 0.672 1
Co1 0.829 0.654 0.657 1
Co2 0.171 0.346 0.343 1
Cl1 0.500 0.500 0.000 1
Cl2 0.171 0.847 0.342 1
Cl3 0.829 0.153 0.658 1
Al1 0.500 0.000 0.000 1
# **Uncorrected energy**: -61.77 eV per cell
# **ΔE_f (raw)**: -927 kJ/mol of formula units
# **Volume**: 27.99 Å³/atom

=====

# Ce4PuSb6 | Alexandria via LeMat-Bulk | PBE-GGA | optimized geometry
data_Ce4PuSb6
_cell_length_a 8.736
_cell_length_b 8.736
_cell_length_c 8.736
_cell_angle_alpha 91.50
_cell_angle_beta 91.50
_cell_angle_gamma 88.50
_symmetry_space_group_name_H-M 'P 1'
_symmetry_Int_Tables_number 1
loop_
_symmetry_equiv_pos_as_xyz
'x,y,z'
loop_
_atom_site_label
_atom_site_fract_x
_atom_site_fract_y
_atom_site_fract_z
_atom_site_occupancy
Ce1 0.250 0.250 0.750 1
Ce2 0.640 0.860 0.750 1
Ce3 0.140 0.750 0.640 1
Ce4 0.750 0.750 0.250 1
Ce5 0.250 0.640 0.140 1
Ce6 0.750 0.360 0.860 1
Ce7 0.360 0.140 0.250 1
Ce8 0.860 0.250 0.360 1
Sb1 0.670 0.067 0.078 1
Sb2 0.922 0.670 0.933 1
Sb3 0.170 0.422 0.433 1
Sb4 0.078 0.330 0.067 1
Sb5 0.330 0.933 0.922 1
Sb6 0.830 0.578 0.567 1
Sb7 0.433 0.830 0.422 1
Sb8 0.933 0.078 0.670 1
Sb9 0.567 0.170 0.578 1
Sb10 0.422 0.567 0.830 1
Sb11 0.578 0.433 0.170 1
Sb12 0.067 0.922 0.330 1
Pu1 0.000 0.000 0.000 1
Pu2 0.500 0.500 0.500 1
# **Uncorrected energy**: -143.33 eV per cell
# **ΔE_f (raw)**: -855 kJ/mol of formula units
# **Volume**: 30.28 Å³/atom

=====

# MgSiTe3 | Alexandria via LeMat-Bulk | PBE-GGA | optimized geometry
data_MgSiTe3
_cell_length_a 5.286
_cell_length_b 5.286
_cell_length_c 5.286
_cell_angle_alpha 90.00
_cell_angle_beta 90.00
_cell_angle_gamma 90.00
_symmetry_space_group_name_H-M 'P 1'
_symmetry_Int_Tables_number 1
loop_
_symmetry_equiv_pos_as_xyz
'x,y,z'
loop_
_atom_site_label
_atom_site_fract_x
_atom_site_fract_y
_atom_site_fract_z
_atom_site_occupancy
Te1 0.000 0.500 0.000 1
Te2 0.000 0.000 0.500 1
Te3 0.500 0.000 0.000 1
Mg1 0.500 0.500 0.500 1
Si1 0.000 0.000 0.000 1
# **Uncorrected energy**: -15.22 eV per cell
# **ΔE_f (raw)**: 118 kJ/mol of formula units
# **Volume**: 29.54 Å³/atom

=====

# Cr2GeW | Alexandria via LeMat-Bulk | PBE-GGA | optimized geometry
data_Cr2GeW
_cell_length_a 6.829
_cell_length_b 6.829
_cell_length_c 5.480
_cell_angle_alpha 51.46
_cell_angle_beta 51.46
_cell_angle_gamma 90.00
_symmetry_space_group_name_H-M 'P 1'
_symmetry_Int_Tables_number 1
loop_
_symmetry_equiv_pos_as_xyz
'x,y,z'
loop_
_atom_site_label
_atom_site_fract_x
_atom_site_fract_y
_atom_site_fract_z
_atom_site_occupancy
W1 0.750 0.250 0.500 1
W2 0.000 0.000 0.000 1
Cr1 0.375 0.375 0.750 1
Cr2 0.875 0.875 0.750 1
Cr3 0.625 0.125 0.250 1
Cr4 0.125 0.625 0.250 1
Ge1 0.500 0.500 0.000 1
Ge2 0.250 0.750 0.500 1
# **Uncorrected energy**: -66.88 eV per cell
# **Volume**: 15.10 Å³/atom

=====

# BaTcIr | Alexandria via LeMat-Bulk | PBE-GGA | optimized geometry
data_BaTcIr
_cell_length_a 3.028
_cell_length_b 3.028
_cell_length_c 7.908
_cell_angle_alpha 90.00
_cell_angle_beta 90.00
_cell_angle_gamma 120.00
_symmetry_space_group_name_H-M 'P 1'
_symmetry_Int_Tables_number 1
loop_
_symmetry_equiv_pos_as_xyz
'x,y,z'
loop_
_atom_site_label
_atom_site_fract_x
_atom_site_fract_y
_atom_site_fract_z
_atom_site_occupancy
Tc1 0.333 0.667 0.620 1
Ba1 0.000 0.000 0.005 1
Ir1 0.667 0.333 0.376 1
# **Uncorrected energy**: -18.01 eV per cell
# **Volume**: 20.93 Å³/atom

=====

# CuIr2W | Alexandria via LeMat-Bulk | PBE-GGA | optimized geometry
data_CuIr2W
_cell_length_a 3.664
_cell_length_b 3.964
_cell_length_c 3.964
_cell_angle_alpha 90.00
_cell_angle_beta 90.00
_cell_angle_gamma 90.00
_symmetry_space_group_name_H-M 'P 1'
_symmetry_Int_Tables_number 1
loop_
_symmetry_equiv_pos_as_xyz
'x,y,z'
loop_
_atom_site_label
_atom_site_fract_x
_atom_site_fract_y
_atom_site_fract_z
_atom_site_occupancy
Cu1 0.500 0.000 0.500 1
Ir1 0.000 0.000 0.000 1
Ir2 0.000 0.500 0.500 1
W1 0.500 0.500 0.000 1
# **Uncorrected energy**: -34.59 eV per cell
# **Volume**: 14.39 Å³/atom

=====

# LaP2BrO | Alexandria via LeMat-Bulk | PBE-GGA | optimized geometry
data_LaP2BrO
_cell_length_a 6.088
_cell_length_b 6.088
_cell_length_c 4.278
_cell_angle_alpha 90.00
_cell_angle_beta 90.00
_cell_angle_gamma 90.00
_symmetry_space_group_name_H-M 'P 1'
_symmetry_Int_Tables_number 1
loop_
_symmetry_equiv_pos_as_xyz
'x,y,z'
loop_
_atom_site_label
_atom_site_fract_x
_atom_site_fract_y
_atom_site_fract_z
_atom_site_occupancy
La1 0.000 0.000 0.000 1
P1 0.000 0.500 0.000 1
P2 0.500 0.000 0.000 1
O1 0.000 0.000 0.500 1
Br1 0.500 0.500 0.500 1
# **Uncorrected energy**: -22.07 eV per cell
# **ΔE_f (raw)**: 30 kJ/mol of formula units
# **Volume**: 31.72 Å³/atom

=====

# Si2TcAu | Alexandria via LeMat-Bulk | PBE-GGA | optimized geometry
data_Si2TcAu
_cell_length_a 3.360
_cell_length_b 3.360
_cell_length_c 5.257
_cell_angle_alpha 90.00
_cell_angle_beta 90.00
_cell_angle_gamma 90.00
_symmetry_space_group_name_H-M 'P 1'
_symmetry_Int_Tables_number 1
loop_
_symmetry_equiv_pos_as_xyz
'x,y,z'
loop_
_atom_site_label
_atom_site_fract_x
_atom_site_fract_y
_atom_site_fract_z
_atom_site_occupancy
Si1 0.000 0.000 0.983 1
Si2 0.500 0.500 0.278 1
Au1 0.500 0.500 0.795 1
Tc1 0.000 0.000 0.444 1
# **Uncorrected energy**: -25.13 eV per cell
# **ΔE_f (raw)**: -62 kJ/mol of formula units
# **Volume**: 14.83 Å³/atom

=====

# AlHPd3 | Alexandria via LeMat-Bulk | PBE-GGA | optimized geometry
data_AlHPd3
_cell_length_a 10.228
_cell_length_b 7.222
_cell_length_c 7.222
_cell_angle_alpha 80.55
_cell_angle_beta 124.57
_cell_angle_gamma 55.43
_symmetry_space_group_name_H-M 'P 1'
_symmetry_Int_Tables_number 1
loop_
_symmetry_equiv_pos_as_xyz
'x,y,z'
loop_
_atom_site_label
_atom_site_fract_x
_atom_site_fract_y
_atom_site_fract_z
_atom_site_occupancy
Al1 0.067 0.508 0.346 1
Al2 0.433 0.846 0.008 1
Al3 0.933 0.492 0.654 1
Al4 0.567 0.154 0.992 1
Pd1 0.089 0.234 0.157 1
Pd2 0.590 0.608 0.523 1
Pd3 0.911 0.766 0.843 1
Pd4 0.569 0.884 0.799 1
Pd5 0.069 0.701 0.616 1
Pd6 0.931 0.299 0.384 1
Pd7 0.910 0.023 0.108 1
Pd8 0.090 0.977 0.892 1
Pd9 0.410 0.392 0.477 1
Pd10 0.431 0.116 0.201 1
Pd11 0.589 0.343 0.266 1
Pd12 0.411 0.657 0.734 1
H1 0.250 0.558 0.058 1
H2 0.750 0.177 0.677 1
H3 0.750 0.442 0.942 1
H4 0.250 0.823 0.323 1
# **Uncorrected energy**: -99.57 eV per cell
# **Volume**: 12.61 Å³/atom

=====

# BaNaB2As | Alexandria via LeMat-Bulk | PBE-GGA | optimized geometry
data_BaNaB2As
_cell_length_a 5.309
_cell_length_b 5.948
_cell_length_c 5.309
_cell_angle_alpha 90.00
_cell_angle_beta 90.00
_cell_angle_gamma 90.00
_symmetry_space_group_name_H-M 'P 1'
_symmetry_Int_Tables_number 1
loop_
_symmetry_equiv_pos_as_xyz
'x,y,z'
loop_
_atom_site_label
_atom_site_fract_x
_atom_site_fract_y
_atom_site_fract_z
_atom_site_occupancy
Na1 0.500 0.500 0.500 1
B1 0.500 0.000 0.000 1
B2 0.000 0.000 0.500 1
As1 0.000 0.500 0.000 1
Ba1 0.000 0.000 0.000 1
# **Uncorrected energy**: -12.04 eV per cell
# **Volume**: 33.53 Å³/atom

=====

# Be2CrTe | Alexandria via LeMat-Bulk | PBE-GGA | optimized geometry
data_Be2CrTe
_cell_length_a 4.549
_cell_length_b 4.549
_cell_length_c 4.029
_cell_angle_alpha 89.97
_cell_angle_beta 89.97
_cell_angle_gamma 51.16
_symmetry_space_group_name_H-M 'P 1'
_symmetry_Int_Tables_number 1
loop_
_symmetry_equiv_pos_as_xyz
'x,y,z'
loop_
_atom_site_label
_atom_site_fract_x
_atom_site_fract_y
_atom_site_fract_z
_atom_site_occupancy
Be1 0.551 0.551 0.251 1
Be2 0.949 0.949 0.249 1
Cr1 0.250 0.250 0.250 1
Te1 0.750 0.750 0.750 1
# **Uncorrected energy**: -18.78 eV per cell
# **ΔE_f (raw)**: 139 kJ/mol of formula units
# **Volume**: 16.24 Å³/atom